#P
This record from Alexandria describes crystalline HoCuPdPt at its relaxed geometry. The functional is GGA-PBE.

The structure belongs to space group Pmmm (No. 47); the cell edges are 3.927, 4.099 and 4.205 Å and the angles 90.00°, 90.00° and 90.00°. The asymmetric unit holds Ho at (0.000, 0.000, 0.000), Cu at (0.000, 0.500, 0.500), Pd at (0.500, 0.000, 0.500) and Pt at (0.500, 0.500, 0.000).

The calculation puts the density of states at the Fermi level at 0.217 states/eV/atom.

=====

#Q
This record from Alexandria describes crystalline HoCuPdPt at its relaxed geometry. The functional is GGA-PBE.

The structure belongs to space group F-43m (No. 216); the cell edges are 6.533, 6.533 and 6.533 Å and the angles 90.00°, 90.00° and 90.00°. The asymmetric unit holds Ho at (0.000, 0.000, 0.000), Cu at (0.000, 0.000, 0.500), Pd at (0.250, 0.250, 0.250) and Pt at (0.250, 0.250, 0.750).

The calculation puts the density of states at the Fermi level at 0.504 states/eV/atom.

=====

Computed stability ranking, most favorable first: #P, #Q